An optimized crystal structure of K3Rb6Au. Source: Alexandria, functional PBE-GGA.

Computed properties:
size of the total moment	0.0	Bohr magnetons per cell
SG	No. 166
total DFT energy (no corrections)	-25.908	eV per cell
crystal system	trigonal
E_form	-6	kJ/mol of atoms

```
K3Rb6Au
1.0
7.352 4.245 8.006
-7.352 4.245 8.006
0.000 -8.489 8.006
K Rb Au
6 12 2
direct
0.034 0.361 0.361
0.361 0.034 0.361
0.361 0.361 0.034
0.639 0.639 0.966
0.639 0.966 0.639
0.966 0.639 0.639
0.025 0.025 0.695
0.025 0.695 0.025
0.305 0.975 0.975
0.307 0.307 0.638
0.307 0.638 0.307
0.362 0.693 0.693
0.638 0.307 0.307
0.693 0.362 0.693
0.693 0.693 0.362
0.695 0.025 0.025
0.975 0.305 0.975
0.975 0.975 0.305
0.000 0.000 0.000
0.500 0.500 0.500
```